No. 1
First-principles (PBE-GGA) data for a geometry-optimized BeAlSe2Br structure, as listed in Alexandria via LeMat-Bulk.

POSCAR file:
```
BeAlSe2Br
1.0
-2.009 1.005 -3.761
-3.284 -2.710 1.030
-2.966 4.671 2.833
Be Se Br Al
1 2 1 1
direct
0.000 0.000 0.000 Be
0.000 0.500 0.000 Se
0.500 0.000 0.000 Se
0.000 0.000 0.500 Br
0.500 0.500 0.500 Al
```

Properties
Energy above the lowest structure with this stoichiometry: 0.0 kJ/mol of formula units
Space group: P4/mmm
Volume: 23.86 Å³/atom

=====

No. 2
First-principles (PBE-GGA) data for a geometry-optimized Be2AlSeBr structure, as listed in Alexandria via LeMat-Bulk.

POSCAR file:
```
Be2AlSeBr
1.0
-4.123 1.158 -1.283
-2.041 -4.221 2.748
-0.411 2.567 3.637
Be Se Br Al
2 1 1 1
direct
0.000 0.000 0.500 Be
0.500 0.000 0.000 Be
0.000 0.500 0.000 Se
0.000 0.000 0.000 Br
0.500 0.500 0.500 Al
```

Properties
Space group: P4/mmm
Volume: 21.73 Å³/atom

=====

Number 1: DOS at the Fermi energy 3.48 states/eV/cell, raw formation energy 0.090 eV/atom. Number 2: DOS at the Fermi energy 3.73 states/eV/cell, raw formation energy 1.195 eV/atom.